Here is a relaxed structure of ZnH14C12N4O4 from OQMD via LeMat-Bulk. Energies are from GGA-PBE.

Calculated values
* calculated volume: 9.498 A^3/atom
* calculated total energy: -6.37 eV/atom
* space group: C2/c (15)

Lattice parameters (Å, degrees): 8.6055 8.6055 9.2680 92.42 92.42 103.83
Atoms (fractional coordinates):
C 0.9229 0.9472 0.0256
C 0.5307 0.5883 0.0308
C 0.8494 0.3243 0.0454
C 0.9446 0.7875 0.0769
C 0.0836 0.3668 0.1654
C 0.9787 0.4258 0.2466
C 0.5742 0.0213 0.2534
C 0.6332 0.9164 0.3346
C 0.2125 0.0554 0.4231
C 0.6757 0.1506 0.4546
C 0.4117 0.4693 0.4692
C 0.0528 0.0771 0.4744
C 0.9472 0.9229 0.5256
C 0.5883 0.5307 0.5308
C 0.3243 0.8494 0.5454
C 0.7875 0.9446 0.5769
C 0.3668 0.0836 0.6654
C 0.4258 0.9787 0.7466
C 0.0213 0.5742 0.7534
C 0.9164 0.6332 0.8346
C 0.0554 0.2125 0.9231
C 0.1506 0.6757 0.9546
C 0.4693 0.4117 0.9692
C 0.0771 0.0528 0.9744
H 0.2444 0.7176 0.0388
H 0.1727 0.0762 0.0613
H 0.8324 0.7152 0.1149
H 0.8770 0.0078 0.1155
H 0.5165 0.0025 0.1455
H 0.0353 0.8059 0.1670
H 0.2072 0.3644 0.1901
H 0.6356 0.7928 0.3099
H 0.1941 0.9647 0.3330
H 0.9975 0.4835 0.3545
H 0.9922 0.1230 0.3845
H 0.2848 0.1676 0.3851
H 0.9238 0.8273 0.4387
H 0.2824 0.7556 0.4612
H 0.7176 0.2444 0.5388
H 0.0762 0.1727 0.5613
H 0.7152 0.8324 0.6149
H 0.0078 0.8770 0.6155
H 0.0025 0.5165 0.6455
H 0.8059 0.0353 0.6670
H 0.3644 0.2072 0.6901
H 0.7928 0.6356 0.8099
H 0.9647 0.1941 0.8330
H 0.4835 0.9975 0.8545
H 0.1230 0.9922 0.8845
H 0.1676 0.2848 0.8851
H 0.8273 0.9238 0.9387
H 0.7556 0.2824 0.9612
N 0.9998 0.3037 0.0378
N 0.8329 0.3989 0.1703
N 0.6011 0.1671 0.3297
N 0.6963 0.0002 0.4622
N 0.3037 0.9998 0.5378
N 0.3989 0.8329 0.6703
N 0.1671 0.6011 0.8297
N 0.0002 0.6963 0.9622
O 0.4858 0.3005 0.0494
O 0.5945 0.6086 0.1575
O 0.3914 0.4055 0.3425
O 0.6995 0.5142 0.4506
O 0.3005 0.4858 0.5494
O 0.6086 0.5945 0.6575
O 0.4055 0.3914 0.8425
O 0.5142 0.6995 0.9506
Zn 0.6100 0.3900 0.2500
Zn 0.3900 0.6100 0.7500